1.
Density functional theory data (PBE) for a relaxed KNiSe2Br crystal.

```
5
Lattice="5.9364 0.0000 0.0000 0.0000 5.9364 0.0000 0.0000 0.0000 5.8300" Properties=species:S:1:pos:R:3 pbc="T T T"
K 0.0000 0.0000 0.0000
Ni 2.9682 2.9682 2.9150
Se 0.0000 2.9682 0.0000
Se 2.9682 0.0000 0.0000
Br 0.0000 0.0000 2.9150
```

Values from the calculation:
Electronic total energy   -2.014 eV per atom
Symmetry   No. 123
DOS(E_F)   12.8 states/eV/f.u.

2.
Density functional theory data (PBE) for a relaxed NaPm2Nd3Te6 crystal.

```
12
Lattice="9.7988 -2.2403 0.0000 9.7988 2.2403 0.0000 -2.0725 0.0000 8.7730" Properties=species:S:1:pos:R:3 pbc="T T T"
Na 0.0000 0.0000 0.0000
Pm 5.1259 0.0000 5.7811
Pm 12.3991 0.0000 2.9919
Nd -1.0363 0.0000 4.3865
Nd 6.2109 0.0000 1.5180
Nd 11.3141 0.0000 7.2550
Te 2.0428 0.0000 5.1115
Te 3.0880 0.0000 0.7417
Te 8.1951 0.0000 6.5993
Te 9.3299 0.0000 2.1737
Te 14.4370 0.0000 8.0313
Te 15.4822 0.0000 3.6615
```

Values from the calculation:
Electronic total energy   -5.063 eV per atom
Symmetry   No. 12
DOS(E_F)   4.7 states/eV/f.u.

3.
Density functional theory data (PBE) for a relaxed Nd2Zn2NiPt5 crystal.

```
20
Lattice="9.6387 0.0000 0.0000 0.0000 9.6387 0.0000 0.0000 0.0000 3.8309" Properties=species:S:1:pos:R:3 pbc="T T T"
Nd 1.7238 3.0956 0.0000
Nd 3.0956 7.9149 0.0000
Nd 6.5432 1.7238 0.0000
Nd 7.9149 6.5432 0.0000
Zn 1.1677 5.9871 0.0000
Zn 3.6517 1.1677 0.0000
Zn 5.9871 8.4711 0.0000
Zn 8.4711 3.6517 0.0000
Ni 0.0000 0.0000 0.0000
Ni 4.8194 4.8194 0.0000
Pt 0.0000 4.8194 1.9154
Pt 0.5731 7.7110 1.9154
Pt 1.9277 0.5731 1.9154
Pt 2.8917 5.3924 1.9154
Pt 4.2463 2.8917 1.9154
Pt 4.8194 0.0000 1.9154
Pt 5.3924 6.7471 1.9154
Pt 6.7471 4.2463 1.9154
Pt 7.7110 9.0657 1.9154
Pt 9.0657 1.9277 1.9154
```

Values from the calculation:
Electronic total energy   -5.473 eV per atom
Symmetry   No. 127
Energy of formation   -642 kJ/mol of formula units
DOS(E_F)   5.9 states/eV/f.u.

4.
Density functional theory data (PBE) for a relaxed Zn8Se crystal.

```
9
Lattice="-4.3473 4.3473 1.9521 4.3473 -4.3473 1.9521 4.3473 4.3473 -1.9521" Properties=species:S:1:pos:R:3 pbc="T T T"
Zn 2.9593 0.0000 0.0000
Zn 5.7353 0.0000 0.0000
Zn 2.8174 2.8174 0.0000
Zn 1.5299 -1.5299 1.9521
Zn 0.0000 2.9593 0.0000
Zn 0.0000 5.7353 0.0000
Zn -1.5299 1.5299 1.9521
Zn 1.5299 1.5299 1.9521
Se 0.0000 0.0000 0.0000
```

Values from the calculation:
Electronic total energy   -1.437 eV per atom
Symmetry   No. 139
DOS(E_F)   2.9 states/eV/f.u.

5.
Density functional theory data (PBE) for a relaxed HfSnCO2 crystal.

```
5
Lattice="3.6878 0.0000 0.0000 0.0000 3.6878 0.0000 0.0000 0.0000 9.0110" Properties=species:S:1:pos:R:3 pbc="T T T"
Hf 0.0000 0.0000 0.0000
Sn 0.0000 0.0000 4.5055
C 1.8439 1.8439 0.0000
O 0.0000 1.8439 4.5055
O 1.8439 0.0000 4.5055
```

Values from the calculation:
Electronic total energy   -6.155 eV per atom
Symmetry   No. 123
DOS(E_F)   1.9 states/eV/f.u.

6.
Density functional theory data (PBE) for a relaxed SrZrNi2Pt crystal.

```
5
Lattice="4.9180 0.0000 0.0000 0.0000 4.9180 0.0000 0.0000 0.0000 4.8558" Properties=species:S:1:pos:R:3 pbc="T T T"
Sr 0.0000 0.0000 0.0000
Zr 2.4590 2.4590 0.0000
Ni 0.0000 2.4590 2.4279
Ni 2.4590 0.0000 2.4279
Pt 2.4590 2.4590 2.4279
```

Values from the calculation:
Electronic total energy   -5.217 eV per atom
Symmetry   No. 123
Energy of formation   169 kJ/mol of formula units
DOS(E_F)   9.9 states/eV/f.u.

7.
Density functional theory data (PBE) for a relaxed TbAg2Pd5 crystal.

```
16
Lattice="4.1302 0.0000 0.0000 0.0000 4.1302 0.0000 0.0000 0.0000 16.0913" Properties=species:S:1:pos:R:3 pbc="T T T"
Tb 0.0000 0.0000 0.0000
Tb 2.0651 2.0651 8.0456
Ag 0.0000 0.0000 4.0323
Ag 0.0000 0.0000 12.0590
Ag 2.0651 2.0651 4.0134
Ag 2.0651 2.0651 12.0779
Pd 0.0000 0.0000 8.0456
Pd 0.0000 2.0651 2.0389
Pd 0.0000 2.0651 6.0068
Pd 0.0000 2.0651 10.0845
Pd 0.0000 2.0651 14.0524
Pd 2.0651 0.0000 2.0389
Pd 2.0651 0.0000 6.0068
Pd 2.0651 0.0000 10.0845
Pd 2.0651 0.0000 14.0524
Pd 2.0651 2.0651 0.0000
```

Values from the calculation:
Electronic total energy   -4.983 eV per atom
Symmetry   No. 139
Energy of formation   -344 kJ/mol of formula units
DOS(E_F)   4.2 states/eV/f.u.

8.
Density functional theory data (PBE) for a relaxed ReNiBP2 crystal.

```
10
Lattice="8.8248 0.0000 0.0000 0.0000 3.0236 0.0000 -1.1923 0.0000 4.8148" Properties=species:S:1:pos:R:3 pbc="T T T"
Re 0.0000 0.0000 0.0000
Re 4.4124 1.5118 0.0000
Ni 2.8051 1.5118 2.1181
Ni 7.2176 0.0000 2.1181
B -0.7182 1.5118 3.2376
B 3.6943 0.0000 3.2376
P 0.6192 1.5118 1.8403
P 2.5222 0.0000 0.2770
P 5.0316 0.0000 1.8403
P 6.9346 1.5118 0.2770
```

Values from the calculation:
Electronic total energy   -7.226 eV per atom
Symmetry   No. 8
Energy of formation   -39 kJ/mol of formula units
DOS(E_F)   2.2 states/eV/f.u.

9.
Density functional theory data (PBE) for a relaxed BaLiN2F crystal.

```
5
Lattice="4.2076 0.0000 0.0000 0.0000 4.2076 0.0000 0.0000 0.0000 4.1803" Properties=species:S:1:pos:R:3 pbc="T T T"
Ba 0.0000 0.0000 0.0000
Li 2.1038 2.1038 2.0901
N 0.0000 2.1038 2.0901
N 2.1038 0.0000 2.0901
F 2.1038 2.1038 0.0000
```

Values from the calculation:
Electronic total energy   -4.738 eV per atom
Symmetry   No. 123
DOS(E_F)   1.4 states/eV/f.u.

10.
Density functional theory data (PBE) for a relaxed Pr2SbS crystal.

```
8
Lattice="4.3150 0.0000 0.0000 0.0000 6.1829 0.0000 0.0000 0.0000 8.7031" Properties=species:S:1:pos:R:3 pbc="T T T"
Pr 1.0788 1.5457 0.9570
Pr 1.0788 1.5457 5.6036
Pr 3.2363 4.6371 3.0996
Pr 3.2363 4.6371 7.7461
Sb 1.0788 4.6371 5.4395
Sb 3.2363 1.5457 3.2637
S 1.0788 4.6371 1.0518
S 3.2363 1.5457 7.6513
```

Values from the calculation:
Electronic total energy   -6.012 eV per atom
Symmetry   No. 59
DOS(E_F)   1.5 states/eV/f.u.

11.
Density functional theory data (PBE) for a relaxed Cs3Y3PaTe8 crystal.

```
15
Lattice="4.4970 2.5963 9.0998 -4.4970 2.5963 9.0998 0.0000 -5.1927 9.0998" Properties=species:S:1:pos:R:3 pbc="T T T"
Cs -2.2485 -1.2982 9.0998
Cs -2.2485 1.2982 18.1996
Cs 0.0000 2.5963 9.0998
Y -4.4970 0.0000 13.6497
Y -2.2485 1.2982 4.5499
Y 2.2485 1.2982 4.5499
Pa 0.0000 0.0000 13.6497
Te -2.2525 -1.3005 15.3700
Te 0.0000 0.0000 6.2712
Te 0.0000 -2.6010 11.9294
Te -2.2525 1.3005 11.9294
Te 2.2525 -1.3005 15.3700
Te 0.0000 2.6010 15.3700
Te 0.0000 0.0000 21.0283
Te 2.2525 1.3005 11.9294
```

Values from the calculation:
Electronic total energy   -5.071 eV per atom
Symmetry   No. 166
DOS(E_F)   3.3 states/eV/f.u.

What is the DOS(E_F) in the third record? 5.9 states/eV/f.u.